VASP calculation (GGA-PBE) on a geometry-optimized Sm5HoTl3 structure.

E_form	-0.263	eV per atom
symmetry	P6_3/mcm

The structure in POSCAR format:
```
Sm5HoTl3
1.0
9.525 0.000 0.000
-4.762 8.249 0.000
0.000 0.000 6.837
Sm Ho Tl
10 2 6
Direct
0.000 0.337 0.250
0.000 0.663 0.750
0.333 0.667 0.000
0.333 0.667 0.500
0.337 0.000 0.250
0.337 0.337 0.750
0.663 0.000 0.750
0.663 0.663 0.250
0.667 0.333 0.000
0.667 0.333 0.500
0.000 0.000 0.000
0.000 0.000 0.500
0.000 0.327 0.750
0.000 0.673 0.250
0.327 0.000 0.750
0.327 0.327 0.250
0.673 0.000 0.250
0.673 0.673 0.750
```


VASP calculation (GGA-PBE) on a geometry-optimized SmHo6Tl structure.

E_form	0.026	eV per atom
ΔE to the lowest computed polymorph	2.160	kcal/mol of atoms
symmetry	R-3

The structure in POSCAR format:
```
SmHo6Tl
1.0
4.611 2.662 3.365
-4.611 2.662 3.365
0.000 -5.324 3.365
Sm Ho Tl
1 6 1
Direct
0.000 0.000 0.000
0.045 0.259 0.537
0.259 0.537 0.045
0.463 0.955 0.741
0.537 0.045 0.259
0.741 0.463 0.955
0.955 0.741 0.463
0.500 0.500 0.500
```


VASP calculation (GGA-PBE) on a geometry-optimized SmHo6Tl2 structure.

E_form	-0.143	eV per atom
ΔE to the lowest computed polymorph	0.000	kcal/mol of atoms
symmetry	C2/m

The structure in POSCAR format:
```
SmHo6Tl2
1.0
6.379 -1.866 0.000
6.379 1.866 0.000
-3.684 0.000 11.391
Sm Ho Tl
1 6 2
Direct
0.000 0.000 0.000
0.012 0.012 0.347
0.310 0.310 0.417
0.313 0.313 0.126
0.687 0.687 0.874
0.690 0.690 0.583
0.988 0.988 0.653
0.359 0.359 0.787
0.641 0.641 0.213
```


VASP calculation (GGA-PBE) on a geometry-optimized Sm5Ho3Tl2 structure.

E_form	-0.115	eV per atom
symmetry	P-1

The structure in POSCAR format:
```
Sm5Ho3Tl2
1.0
6.711 0.000 0.000
1.308 9.072 0.000
1.169 4.394 10.103
Sm Ho Tl
10 6 4
Direct
0.030 0.255 0.191
0.031 0.178 0.687
0.255 0.966 0.486
0.362 0.374 0.381
0.441 0.867 0.796
0.559 0.133 0.204
0.638 0.626 0.619
0.745 0.034 0.514
0.969 0.822 0.313
0.970 0.745 0.809
0.159 0.540 0.606
0.245 0.012 0.024
0.379 0.408 0.913
0.621 0.592 0.087
0.755 0.988 0.976
0.841 0.460 0.394
0.116 0.639 0.105
0.479 0.750 0.307
0.521 0.250 0.693
0.884 0.361 0.895
```


VASP calculation (GGA-PBE) on a geometry-optimized SmHo4Tl structure.

E_form	-0.104	eV per atom
ΔE to the lowest computed polymorph	0.000	kcal/mol of atoms
symmetry	P4/mmm

The structure in POSCAR format:
```
SmHo4Tl
1.0
3.587 0.000 0.000
0.000 3.587 0.000
0.000 0.000 14.194
Sm Ho Tl
1 4 1
Direct
0.000 0.000 0.000
0.000 0.000 0.351
0.000 0.000 0.649
0.500 0.500 0.178
0.500 0.500 0.822
0.500 0.500 0.500
```


VASP calculation (GGA-PBE) on a geometry-optimized SmHo6Tl5 structure.

E_form	-0.264	eV per atom
symmetry	Immm

The structure in POSCAR format:
```
SmHo6Tl5
1.0
-2.509 4.375 7.613
2.509 -4.375 7.613
2.509 4.375 -7.613
Sm Ho Tl
1 6 5
Direct
0.000 0.000 0.000
0.095 0.830 0.265
0.276 0.500 0.776
0.435 0.170 0.265
0.565 0.830 0.735
0.724 0.500 0.224
0.905 0.170 0.735
0.148 0.648 0.500
0.319 0.319 0.000
0.500 0.000 0.500
0.681 0.681 0.000
0.852 0.352 0.500
```


VASP calculation (GGA-PBE) on a geometry-optimized Sm2Ho3Tl2 structure.

E_form	-0.199	eV per atom
symmetry	C2/m

The structure in POSCAR format:
```
Sm2Ho3Tl2
1.0
4.701 -2.718 0.000
4.701 2.718 0.000
-3.145 0.000 8.116
Sm Ho Tl
2 3 2
Direct
0.076 0.076 0.227
0.924 0.924 0.773
0.346 0.346 0.040
0.500 0.500 0.500
0.654 0.654 0.960
0.217 0.217 0.651
0.783 0.783 0.349
```


VASP calculation (GGA-PBE) on a geometry-optimized SmHo2Tl structure.

E_form	-0.171	eV per atom
ΔE to the lowest computed polymorph	0.218	kcal/mol of atoms
symmetry	Cmcm

The structure in POSCAR format:
```
SmHo2Tl
1.0
1.820 -6.437 0.000
1.820 6.437 0.000
0.000 0.000 10.276
Sm Ho Tl
2 4 2
Direct
0.040 0.960 0.750
0.960 0.040 0.250
0.368 0.632 0.527
0.368 0.632 0.973
0.632 0.368 0.027
0.632 0.368 0.473
0.240 0.760 0.250
0.760 0.240 0.750
```


VASP calculation (GGA-PBE) on a geometry-optimized Sm6Ho12Tl structure.

E_form	0.085	eV per atom
symmetry	R-3

The structure in POSCAR format:
```
Sm6Ho12Tl
1.0
5.931 3.424 4.979
-5.931 3.424 4.979
0.000 -6.849 4.979
Sm Ho Tl
6 12 1
Direct
0.197 0.593 0.759
0.241 0.803 0.407
0.407 0.241 0.803
0.593 0.759 0.197
0.759 0.197 0.593
0.803 0.407 0.241
0.040 0.277 0.935
0.065 0.960 0.723
0.140 0.311 0.487
0.277 0.935 0.040
0.311 0.487 0.140
0.487 0.140 0.311
0.513 0.860 0.689
0.689 0.513 0.860
0.723 0.065 0.960
0.860 0.689 0.513
0.935 0.040 0.277
0.960 0.723 0.065
0.500 0.500 0.500
```


VASP calculation (GGA-PBE) on a geometry-optimized Sm2Ho2Tl5 structure.

E_form	-0.211	eV per atom
symmetry	Cmce

The structure in POSCAR format:
```
Sm2Ho2Tl5
1.0
8.173 -4.041 0.000
8.173 4.041 0.000
0.000 0.000 8.153
Sm Ho Tl
4 4 10
Direct
0.200 0.200 0.000
0.300 0.300 0.500
0.700 0.700 0.500
0.800 0.800 0.000
0.154 0.846 0.656
0.346 0.654 0.156
0.654 0.346 0.844
0.846 0.154 0.344
0.000 0.000 0.000
0.014 0.721 0.356
0.221 0.514 0.856
0.279 0.986 0.356
0.486 0.779 0.856
0.500 0.500 0.500
0.514 0.221 0.144
0.721 0.014 0.644
0.779 0.486 0.144
0.986 0.279 0.644
```


VASP calculation (GGA-PBE) on a geometry-optimized SmHo2Tl structure.

E_form	-0.180	eV per atom
ΔE to the lowest computed polymorph	0.000	kcal/mol of atoms
symmetry	P4/mmm

The structure in POSCAR format:
```
SmHo2Tl
1.0
4.886 0.000 0.000
0.000 4.886 0.000
0.000 0.000 4.836
Sm Ho Tl
1 2 1
Direct
0.000 0.000 0.000
0.000 0.500 0.500
0.500 0.000 0.500
0.500 0.500 0.000
```


VASP calculation (GGA-PBE) on a geometry-optimized Sm4HoTl5 structure.

E_form	-0.370	eV per atom
symmetry	P4/mmm

The structure in POSCAR format:
```
Sm4HoTl5
1.0
3.804 0.000 0.000
0.000 3.804 0.000
0.000 0.000 19.661
Sm Ho Tl
4 1 5
Direct
0.000 0.000 0.101
0.000 0.000 0.304
0.000 0.000 0.696
0.000 0.000 0.899
0.000 0.000 0.500
0.500 0.500 0.000
0.500 0.500 0.203
0.500 0.500 0.405
0.500 0.500 0.595
0.500 0.500 0.797
```